Li2HfCo3O6 | GGA+U | optimized geometry

## Properties
The calculation puts the electronic total energy at -0.5003 Ry/atom. The value obtained for the density of states at the Fermi level is 0.00 states/eV/atom.

Cell: 5.2644 9.1267 5.2225 Å, 90.00 109.63 90.00°
Space group C2/m (No. 12)
One atom of each set of equivalent atoms:
Li 0.0000 0.1665 0.0000 [4 per cell]
Hf 0.0000 0.5000 0.0000 [2 per cell]
Co 0.0000 0.0000 0.5000 [2 per cell]
Co 0.0000 0.3275 0.5000 [4 per cell]
O 0.2374 0.5000 0.7485 [4 per cell]
O 0.2465 0.3380 0.2481 [8 per cell]